[1]
The following is a DFT calculation (PBE) of a relaxed structure of ZnAg2Hg.

```
data_ZnAg2Hg
_symmetry_space_group_name_H-M 'C 1 2/m 1'
_symmetry_Int_Tables_number 12
_cell_length_a 5.754
_cell_length_b 9.242
_cell_length_c 3.372
_cell_angle_alpha 90.00
_cell_angle_beta 125.58
_cell_angle_gamma 90.00
loop_
_symmetry_equiv_pos_as_xyz
'x,y,z'
'-x,-y,-z'
'-x,y,-z'
'x,-y,z'
'x+1/2,y+1/2,z'
'-x+1/2,-y+1/2,-z'
'-x+1/2,y+1/2,-z'
'x+1/2,-y+1/2,z'
loop_
_atom_site_label
_atom_site_type_symbol
_atom_site_fract_x
_atom_site_fract_y
_atom_site_fract_z
_atom_site_occupancy
Zn1 Zn 0.000 0.000 0.000 1
Ag1 Ag 0.000 0.232 0.500 1
Hg1 Hg 0.000 0.500 0.000 1
```

=====

[2]
The following is a DFT calculation (PBE) of a relaxed structure of ZnAg2Hg.

```
data_ZnAg2Hg
_symmetry_space_group_name_H-M 'P m m m'
_symmetry_Int_Tables_number 47
_cell_length_a 3.389
_cell_length_b 4.633
_cell_length_c 4.667
_cell_angle_alpha 90.00
_cell_angle_beta 90.00
_cell_angle_gamma 90.00
loop_
_symmetry_equiv_pos_as_xyz
'x,y,z'
'-x,-y,-z'
'-x,-y,z'
'x,y,-z'
'x,-y,-z'
'-x,y,z'
'-x,y,-z'
'x,-y,z'
loop_
_atom_site_label
_atom_site_type_symbol
_atom_site_fract_x
_atom_site_fract_y
_atom_site_fract_z
_atom_site_occupancy
Zn1 Zn 0.000 0.000 0.000 1
Ag1 Ag 0.000 0.500 0.500 1
Ag2 Ag 0.500 0.000 0.500 1
Hg1 Hg 0.500 0.500 0.000 1
```

=====

[3]
The following is a DFT calculation (PBE) of a relaxed structure of ZnAg2Hg.

```
data_ZnAg2Hg
_symmetry_space_group_name_H-M 'P 4/m m m'
_symmetry_Int_Tables_number 123
_symmetry_space_group_name_Hall '-P 4 2'
_cell_length_a 2.989
_cell_length_b 2.989
_cell_length_c 8.181
_cell_angle_alpha 90.00
_cell_angle_beta 90.00
_cell_angle_gamma 90.00
loop_
_atom_site_label
_atom_site_type_symbol
_atom_site_fract_x
_atom_site_fract_y
_atom_site_fract_z
_atom_site_occupancy
Zn1 Zn 0.000 0.000 0.000 1
Ag1 Ag 0.500 0.500 0.222 1
Hg1 Hg 0.000 0.000 0.500 1
```

=====

[4]
The following is a DFT calculation (PBE) of a relaxed structure of ZnAg2Hg.

```
data_ZnAg2Hg
_symmetry_space_group_name_H-M 'P 1 m 1'
_symmetry_Int_Tables_number 6
_cell_length_a 2.994
_cell_length_b 4.384
_cell_length_c 5.786
_cell_angle_alpha 90.00
_cell_angle_beta 103.16
_cell_angle_gamma 90.00
loop_
_symmetry_equiv_pos_as_xyz
'x,y,z'
'x,-y,z'
loop_
_atom_site_label
_atom_site_type_symbol
_atom_site_fract_x
_atom_site_fract_y
_atom_site_fract_z
_atom_site_occupancy
Zn1 Zn 0.000 0.000 0.000 1
Ag1 Ag 0.217 0.000 0.472 1
Ag2 Ag 0.581 0.500 0.188 1
Hg1 Hg 0.827 0.500 0.707 1
```

=====

[5]
The following is a DFT calculation (PBE) of a relaxed structure of ZnAgHg.

```
data_ZnAgHg
_symmetry_space_group_name_H-M 'F m m 2'
_symmetry_Int_Tables_number 42
_symmetry_space_group_name_Hall 'F 2 -2'
_cell_length_a 3.485
_cell_length_b 4.843
_cell_length_c 13.530
_cell_angle_alpha 90.00
_cell_angle_beta 90.00
_cell_angle_gamma 90.00
loop_
_atom_site_label
_atom_site_type_symbol
_atom_site_fract_x
_atom_site_fract_y
_atom_site_fract_z
_atom_site_occupancy
Zn1 Zn 0.000 0.000 0.000 1
Ag1 Ag 0.000 0.000 0.349 1
Hg1 Hg 0.000 0.000 0.668 1
```

=====

[6]
The following is a DFT calculation (PBE) of a relaxed structure of ZnAg2Hg.

```
data_ZnAg2Hg
_symmetry_space_group_name_H-M 'P m m 2'
_symmetry_Int_Tables_number 25
_cell_length_a 2.966
_cell_length_b 4.202
_cell_length_c 5.914
_cell_angle_alpha 90.00
_cell_angle_beta 90.00
_cell_angle_gamma 90.00
loop_
_symmetry_equiv_pos_as_xyz
'x,y,z'
'-x,-y,z'
'-x,y,z'
'x,-y,z'
loop_
_atom_site_label
_atom_site_type_symbol
_atom_site_fract_x
_atom_site_fract_y
_atom_site_fract_z
_atom_site_occupancy
Zn1 Zn 0.000 0.000 0.000 1
Ag1 Ag 0.000 0.000 0.468 1
Ag2 Ag 0.500 0.500 0.220 1
Hg1 Hg 0.500 0.500 0.731 1
```

=====

We obtain ΔE_f values of 0.19; 0.28; 0.13; 0.19; 0.29; 0.22 eV/f.u. for the records listed above, in that order.